# 1
Here is an optimized crystal structure of ZrCo2W from the Alexandria database. Energies are from GGA-PBE.

Lattice parameters (Å, degrees): 8.776 8.776 8.776 18.55 18.55 18.55
Site moments in Bohr magnetons follow the coordinates.
Fractional coordinates of all 4 atoms:
W  0.250  0.250  0.250  0.02
Zr  0.750  0.750  0.750  0.02
Co  0.507  0.507  0.507  -0.12
Co  0.993  0.993  0.993  -0.12

---

# 2
Here is an optimized crystal structure of Zr3CoW from the Alexandria database. Energies are from GGA-PBE.

Lattice parameters (Å, degrees): 5.028 5.028 5.028 90.00 90.00 90.00
Fractional coordinates of all 5 atoms:
Zr  0.500  0.000  0.000
Zr  0.000  0.500  0.000
Zr  0.000  0.000  0.500
Co  0.500  0.500  0.500
W  0.000  0.000  0.000

---

# 3
Here is an optimized crystal structure of ZrCo3W from the Alexandria database. Energies are from GGA-PBE.

Lattice parameters (Å, degrees): 4.412 4.412 4.412 90.00 90.00 90.00
Fractional coordinates of all 5 atoms:
W  0.000  0.000  0.000
Co  0.000  0.500  0.000
Co  0.000  0.000  0.500
Co  0.500  0.000  0.000
Zr  0.500  0.500  0.500

---

# 4
Here is an optimized crystal structure of ZrCoW2 from the Alexandria database. Energies are from GGA-PBE.

Lattice parameters (Å, degrees): 2.785 2.785 8.468 90.00 90.00 103.10
Site moments in Bohr magnetons follow the coordinates.
Fractional coordinates of all 4 atoms:
Co  0.500  0.500  0.767  0.18
Zr  0.000  0.000  0.524  0.02
W  0.000  0.000  0.974  0.00
W  0.500  0.500  0.235  0.00

---

# 5
Here is an optimized crystal structure of ZrCoW2 from the Alexandria database. Energies are from GGA-PBE.

Lattice parameters (Å, degrees): 3.207 3.207 6.338 90.00 90.00 90.00
Site moments in Bohr magnetons follow the coordinates.
Fractional coordinates of all 4 atoms:
Co  0.500  0.500  0.764  1.20
W  0.000  0.000  0.998  0.16
W  0.500  0.500  0.228  -0.06
Zr  0.000  0.000  0.511  -0.03

---

# 6
Here is an optimized crystal structure of Zr2CoW from the Alexandria database. Energies are from GGA-PBE.

Lattice parameters (Å, degrees): 3.046 3.046 7.816 90.00 90.00 90.00
Fractional coordinates of all 4 atoms:
Co  0.000  0.000  0.541
Zr  0.000  0.000  0.968
Zr  0.500  0.500  0.290
W  0.500  0.500  0.701

---

# 7
Here is an optimized crystal structure of ZrCoW2 from the Alexandria database. Energies are from GGA-PBE.

Lattice parameters (Å, degrees): 5.350 5.350 4.444 65.47 65.47 34.81
Site moments in Bohr magnetons follow the coordinates.
Fractional coordinates of all 4 atoms:
W  0.509  0.509  0.491  0.13
W  0.991  0.991  0.009  0.13
Co  0.250  0.250  0.250  1.26
Zr  0.750  0.750  0.750  0.00

---

# 8
Here is an optimized crystal structure of ZrCoW2 from the Alexandria database. Energies are from GGA-PBE.

Lattice parameters (Å, degrees): 5.172 5.172 5.172 143.14 127.07 66.24
Site moments in Bohr magnetons follow the coordinates.
Fractional coordinates of all 4 atoms:
W  0.763  0.263  0.500  0.12
W  0.002  0.002  0.000  0.02
Zr  0.494  0.494  0.000  -0.04
Co  0.241  0.741  0.500  1.10

---

# 9
Here is an optimized crystal structure of ZrCoW2 from the Alexandria database. Energies are from GGA-PBE.

Lattice parameters (Å, degrees): 3.681 3.681 10.548 79.95 79.95 90.00
Fractional coordinates of all 8 atoms:
W  0.875  0.874  0.750
W  0.375  0.376  0.750
W  0.624  0.125  0.250
W  0.126  0.625  0.250
Zr  0.000  0.000  0.000
Zr  0.750  0.250  0.500
Co  0.500  0.500  0.000
Co  0.250  0.750  0.500

---

# 10
Here is an optimized crystal structure of Zr2CoW from the Alexandria database. Energies are from GGA-PBE.

Lattice parameters (Å, degrees): 4.341 2.938 5.608 80.62 90.00 90.00
Site moments in Bohr magnetons follow the coordinates.
Fractional coordinates of all 4 atoms:
Zr  0.000  0.002  0.006  -0.07
Zr  0.000  0.498  0.494  -0.07
Co  0.500  0.250  0.250  0.67
W  0.500  0.750  0.750  0.03

---

# 11
Here is an optimized crystal structure of ZrCoW2 from the Alexandria database. Energies are from GGA-PBE.

Lattice parameters (Å, degrees): 4.391 4.391 3.342 90.00 90.00 90.00
Site moments in Bohr magnetons follow the coordinates.
Fractional coordinates of all 4 atoms:
W  0.000  0.000  0.000  0.10
W  0.500  0.500  0.000  0.10
Co  0.000  0.500  0.500  1.30
Zr  0.500  0.000  0.500  -0.01

---

# 12
Here is an optimized crystal structure of Zr2CoW from the Alexandria database. Energies are from GGA-PBE.

Lattice parameters (Å, degrees): 3.325 4.870 6.520 41.81 90.00 90.00
Site moments in Bohr magnetons follow the coordinates.
Fractional coordinates of all 4 atoms:
W  0.000  0.000  0.500  0.02
Zr  0.000  0.000  0.000  -0.08
Zr  0.500  0.500  0.000  -0.02
Co  0.500  0.500  0.500  0.61

---

no.,E_form (eV/atom),energy above the most stable polymorph in this dataset (meV/atom)
1,0.3426,400
2,1.2945,649
3,0.9594,0
4,0.1407,81
5,0.0599,0
6,0.0802,138
7,0.1508,91
8,0.2290,169
9,0.6063,546
10,0.2216,279
11,0.3843,324
12,0.2270,285